{
  "formula": "NaLa2VO6",
  "functional": "PBE with a Hubbard U",
  "state": "optimized geometry",
  "lattice": [[-2.001, 3.188, -4.139], [-4.682, -3.596, -0.506], [-4.007, 4.472, 5.298]],
  "species": ["O", "O", "O", "O", "O", "O", "O", "O", "O", "O", "O", "O", "La", "La", "La", "La", "V", "V", "Na", "Na"],
  "fractional_positions": [[0.720, 0.329, 0.952], [0.835, 0.773, 0.936], [0.665, 0.273, 0.564], [0.220, 0.171, 0.452], [0.780, 0.829, 0.548], [0.107, 0.456, 0.775], [0.607, 0.044, 0.275], [0.335, 0.727, 0.436], [0.280, 0.671, 0.048], [0.393, 0.956, 0.725], [0.165, 0.227, 0.064], [0.893, 0.544, 0.225], [0.016, 0.936, 0.253], [0.484, 0.436, 0.247], [0.516, 0.564, 0.753], [0.984, 0.064, 0.747], [0.000, 0.500, 0.000], [0.500, 0.000, 0.500], [0.500, 0.000, 0.000], [0.000, 0.500, 0.500]],
  "n_ef_per_ev_cell": 0.0,
  "e_tot_ev_per_atom": -7.55
}